[1]
Dy2Er13 | PBE-GGA | optimized geometry

Lattice parameters (Å, degrees): 6.5113 8.6188 8.8706 69.17 84.23 80.81
Closest atoms and distances in Å follow each position.
Fractional positions:
Dy 0.1987 0.3039 0.3977  7 Er 3.13-3.50
Dy 0.8013 0.6961 0.6023  7 Er 3.13-3.50
Er 0.0000 0.5000 0.0000  12 Er 3.49-3.82, 2 Dy 3.60
Er 0.0962 0.9256 0.6921  8 Er 3.29-3.49, 2 Dy 3.30-3.49
Er 0.1336 0.6961 0.2669  2 Dy 3.13-3.50, 5 Er 3.30-3.49
Er 0.2377 0.0752 0.9756  10 Er 3.29-3.49
Er 0.3339 0.4993 0.6672  11 Er 3.49-3.83, 3 Dy 3.61-3.62
Er 0.4291 0.9234 0.3590  8 Er 3.30-3.50, 2 Dy 3.30-3.50
Er 0.4666 0.6966 0.9344  6 Er 3.14-3.50, 1 Dy 3.48
Er 0.5334 0.3034 0.0656  6 Er 3.14-3.50, 1 Dy 3.48
Er 0.5709 0.0766 0.6410  8 Er 3.30-3.50, 2 Dy 3.30-3.50
Er 0.6661 0.5007 0.3328  11 Er 3.49-3.83, 3 Dy 3.61-3.62
Er 0.7623 0.9248 0.0244  10 Er 3.29-3.49
Er 0.8664 0.3039 0.7331  2 Dy 3.13-3.50, 5 Er 3.30-3.49
Er 0.9038 0.0744 0.3079  8 Er 3.29-3.49, 2 Dy 3.30-3.49

Properties
As for the crystal system: triclinic. For the energy above the most stable polymorph in this dataset, the calculation gives 0.00 kcal/mol of atoms. For the mass density, the calculation gives 9.0 Mg/m³. The volume is 30.6 Å³/atom. Its magnetic moment is 0.00 μB/f.u. The formation energy from the elements is 0.0532 eV/atom.

[2]
NaMnPt | PBE-GGA | optimized geometry

Lattice parameters (Å, degrees): 5.7758 5.7758 5.4049 90.00 90.00 135.79
Closest atoms and distances in Å follow each position.
Fractional positions:
Na 0.2336 0.7664 0.7500  1 Pt 2.83, 2 Mn 3.15
Na 0.7664 0.2336 0.2500  1 Pt 2.83, 2 Mn 3.15
Mn 0.5000 0.5000 0.0000  4 Pt 2.58, 2 Mn 2.70
Mn 0.5000 0.5000 0.5000  4 Pt 2.58, 2 Mn 2.70
Pt 0.0311 0.9689 0.2500  4 Mn 2.58, 2 Pt 2.78, 1 Na 2.83
Pt 0.9689 0.0311 0.7500  4 Mn 2.58, 2 Pt 2.78, 1 Na 2.83

Properties
As for the crystal system: orthorhombic. For the energy above the most stable polymorph in this dataset, the calculation gives 1.38 kcal/mol of atoms. For the mass density, the calculation gives 7.2 Mg/m³. The volume is 21.0 Å³/atom. Its magnetic moment is 3.96 μB/f.u. The formation energy from the elements is -0.0222 eV/atom.

[3]
TiAsSe4 | PBE-GGA | optimized geometry

Lattice parameters (Å, degrees): 7.6134 7.6134 6.5456 114.99 114.99 26.62
Closest atoms and distances in Å follow each position.
Fractional positions:
Ti 0.0000 0.0000 0.0000  6 Se 2.57
As 0.5000 0.5000 0.5000  6 Se 2.63-2.65
Se 0.1150 0.1150 0.4283  1 Ti 2.57, 2 As 2.63
Se 0.3862 0.3862 0.0558  2 Ti 2.57, 1 As 2.65
Se 0.6138 0.6138 0.9442  2 Ti 2.57, 1 As 2.65
Se 0.8850 0.8850 0.5717  1 Ti 2.57, 2 As 2.63

Properties
As for the crystal system: monoclinic. For the mass density, the calculation gives 4.8 Mg/m³. The volume is 25.5 Å³/atom. Its magnetic moment is 0.00 μB/f.u. As for the formation energy from raw total energies: -0.5527 eV/atom.

[4]
CaPtSeBr2 | PBE-GGA | optimized geometry

Lattice parameters (Å, degrees): 4.9509 4.9509 6.0995 90.00 90.00 90.00
Closest atoms and distances in Å follow each position.
Fractional positions:
Ca 0.0000 0.0000 0.0000  2 Pt 3.05
Pt 0.0000 0.0000 0.5000  4 Br 2.48
Se 0.5000 0.5000 0.0000  4 Ca 3.50
Br 0.0000 0.5000 0.5000  2 Pt 2.48
Br 0.5000 0.0000 0.5000  2 Pt 2.48

Properties
As for the crystal system: tetragonal. For the energy above the most stable polymorph in this dataset, the calculation gives 6.43 kcal/mol of atoms. For the mass density, the calculation gives 5.3 Mg/m³. The volume is 29.9 Å³/atom. Its magnetic moment is 1.02 μB/f.u. As for the formation energy from raw total energies: -0.3644 eV/atom.

[5]
LiFeCuPt | PBE-GGA | optimized geometry

Lattice parameters (Å, degrees): 4.1892 4.1892 4.1892 60.00 60.00 60.00
Closest atoms and distances in Å follow each position.
Fractional positions:
Li 0.0000 0.0000 0.0000  4 Cu 2.57, 4 Pt 2.57
Fe 0.5000 0.5000 0.5000  4 Pt 2.57, 4 Cu 2.57
Cu 0.2500 0.2500 0.2500  4 Fe 2.57, 4 Li 2.57
Pt 0.7500 0.7500 0.7500  4 Fe 2.57, 4 Li 2.57

Properties
As for the crystal system: cubic. For the mass density, the calculation gives 10.3 Mg/m³. The volume is 13.0 Å³/atom. Its magnetic moment is 3.31 μB/f.u. The formation energy from the elements is -0.1642 eV/atom.

[6]
Sr2NpCdS5 | PBE-GGA | optimized geometry

Lattice parameters (Å, degrees): 8.9030 8.9030 12.7466 90.00 90.00 153.34
Closest atoms and distances in Å follow each position.
Fractional positions:
Sr 0.1017 0.8983 0.5000  6 S 2.99-3.17
Sr 0.1272 0.8728 0.1323  8 S 3.01-3.31
Sr 0.8728 0.1272 0.6323  8 S 3.01-3.31
Sr 0.8983 0.1017 0.0000  6 S 2.99-3.17
Np 0.2138 0.7862 0.8422  6 S 2.65-2.72
Np 0.7862 0.2138 0.3422  6 S 2.65-2.72
Cd 0.4564 0.5436 0.2760  3 S 2.46-2.53
Cd 0.5436 0.4564 0.7760  3 S 2.46-2.53
S 0.0617 0.9383 0.8887  2 Cd 2.53, 1 Np 2.70
S 0.2793 0.7207 0.4822  2 Np 2.72
S 0.3009 0.6991 0.2038  2 Np 2.72, 1 Cd 2.85
S 0.3658 0.6342 0.8240  1 Np 2.65
S 0.4965 0.5035 0.5939  1 Cd 2.46
S 0.5035 0.4965 0.0939  1 Cd 2.46
S 0.6342 0.3658 0.3240  1 Np 2.65
S 0.6991 0.3009 0.7038  2 Np 2.72, 1 Cd 2.85
S 0.7207 0.2793 0.9822  2 Np 2.72
S 0.9383 0.0617 0.3887  2 Cd 2.53, 1 Np 2.70

Properties
As for the crystal system: orthorhombic. For the mass density, the calculation gives 5.0 Mg/m³. The volume is 25.2 Å³/atom. Its magnetic moment is 3.00 μB/f.u. As for the formation energy from raw total energies: -1.4921 eV/atom.

[7]
NdZrNbN3 | PBE-GGA | optimized geometry

Lattice parameters (Å, degrees): 5.7450 3.3281 8.5489 90.00 102.87 90.00
Closest atoms and distances in Å follow each position.
Fractional positions:
Nd 0.1469 0.2500 0.1911  7 N 2.47-2.60
Nd 0.8531 0.7500 0.8089  7 N 2.47-2.60
Zr 0.2668 0.7500 0.5482  6 N 2.27-2.34
Zr 0.7332 0.2500 0.4518  6 N 2.27-2.34
Nb 0.3760 0.2500 0.8652  5 N 2.16-2.23
Nb 0.6240 0.7500 0.1348  5 N 2.16-2.23
N 0.0629 0.2500 0.6567  1 Nb 2.23, 3 Zr 2.28-2.34
N 0.2553 0.7500 0.9876  3 Nb 2.16-2.21
N 0.4630 0.7500 0.3458  1 Nb 2.20, 3 Zr 2.27-2.32
N 0.5370 0.2500 0.6542  1 Nb 2.20, 3 Zr 2.27-2.32
N 0.7447 0.2500 0.0124  3 Nb 2.16-2.21
N 0.9371 0.7500 0.3433  1 Nb 2.23, 3 Zr 2.28-2.34

Properties
As for the crystal system: monoclinic. For the mass density, the calculation gives 7.7 Mg/m³. The volume is 13.3 Å³/atom. Its magnetic moment is 0.00 μB/f.u. As for the formation energy from raw total energies: -1.3985 eV/atom.

[8]
LaReAs2 | PBE-GGA | optimized geometry

Lattice parameters (Å, degrees): 4.8575 4.8575 4.8575 60.00 60.00 60.00
Closest atoms and distances in Å follow each position.
Fractional positions:
La 0.0000 0.0000 0.0000  4 As 2.97, 4 Re 2.97
Re 0.2500 0.2500 0.2500  4 La 2.97, 4 As 2.97
As 0.5000 0.5000 0.5000  4 Re 2.97, 4 As 2.97
As 0.7500 0.7500 0.7500  4 As 2.97, 4 La 2.97

Properties
As for the crystal system: cubic. For the energy above the most stable polymorph in this dataset, the calculation gives 21.35 kcal/mol of atoms. For the mass density, the calculation gives 9.7 Mg/m³. The volume is 20.3 Å³/atom. Its magnetic moment is 0.00 μB/f.u. The formation energy from the elements is 0.3533 eV/atom.